Here is crystalline PmPr2Al2Zn2 at its relaxed geometry from the Alexandria database. Energies are from PBE-GGA.

Cell lengths 9.8075, 9.8075, 9.8075 Å; angles 27.03, 27.03, 27.03 degrees
Closest atoms and distances in Å follow each position.
Positions (direct):
1 Pm 0.0000 0.0000 0.0000  6 Zn 3.19, 6 Al 3.25
2 Pr 0.1277 0.1277 0.1277  3 Al 3.17, 3 Zn 3.22, 3 Pr 3.45
3 Pr 0.8723 0.8723 0.8723  3 Al 3.17, 3 Zn 3.22, 3 Pr 3.45
4 Al 0.2671 0.2671 0.2671  3 Zn 2.65
5 Al 0.7329 0.7329 0.7329  3 Zn 2.65
6 Zn 0.3964 0.3964 0.3964  3 Al 2.65
7 Zn 0.6036 0.6036 0.6036  3 Al 2.65

Summary:
Its total magnetic moment is 0.0 Bohr magnetons per cell. Its crystal system is trigonal. Its calculated total energy is -3.79 eV per atom.